No. 1
Entry from Alexandria: a geometry-optimized CsNpInS4 structure (PBE).

Cell lengths 6.822, 6.981, 10.730 Å; angles 90.00, 123.00, 90.00 degrees
Last column: magnetic moment on the atom in μB.
Element x y z (fractional)
In1 0.797 0.250 0.653  0.01
S1 0.916 0.497 0.316  -0.09
S2 0.084 0.503 0.684  -0.09
S3 0.438 0.250 0.405  -0.08
Cs1 0.641 0.750 0.935  0.00
S4 0.916 0.003 0.316  -0.09
Np1 0.214 0.250 0.543  3.33
S5 0.562 0.750 0.595  -0.08
S6 0.360 0.750 0.191  -0.07
S7 0.640 0.250 0.809  -0.07
Cs2 0.359 0.250 0.065  0.00
S8 0.084 0.997 0.684  -0.09
In2 0.203 0.750 0.347  0.01
Np2 0.786 0.750 0.457  3.33

Properties
D(E_F): 1.03 states/eV/atom
symmetry: No. 11

No. 2
Entry from Alexandria: a geometry-optimized Cs2NpIn2S6 structure (PBE).

Cell lengths 7.709, 7.709, 8.406 Å; angles 62.71, 62.71, 60.00 degrees
Last column: magnetic moment on the atom in μB.
Element x y z (fractional)
S1 0.235 0.775 0.214  -0.07
S2 0.775 0.775 0.214  -0.07
S3 0.225 0.765 0.786  -0.07
In1 0.434 0.434 0.697  -0.03
Np1 0.000 0.000 0.000  1.75
S4 0.775 0.235 0.214  -0.07
Cs1 0.228 0.228 0.315  0.00
Cs2 0.772 0.772 0.685  0.00
In2 0.566 0.566 0.303  -0.03
S5 0.225 0.225 0.786  -0.07
S6 0.765 0.225 0.786  -0.07

Properties
D(E_F): 0.23 states/eV/atom
symmetry: No. 166

No. 3
Entry from Alexandria: a geometry-optimized CsNpInSe3 structure (PBE).

Cell lengths 4.158, 9.289, 11.634 Å; angles 109.12, 90.00, 90.00 degrees
Last column: magnetic moment on the atom in μB.
Element x y z (fractional)
Se1 0.750 0.420 0.106  -0.10
Se2 0.750 0.336 0.598  -0.05
Se3 0.250 0.126 0.807  -0.07
Se4 0.250 0.580 0.894  -0.10
Se5 0.750 0.874 0.193  -0.07
Cs1 0.750 0.766 0.722  0.00
Np1 0.250 0.645 0.151  3.70
Np2 0.750 0.355 0.849  3.70
Se6 0.250 0.664 0.402  -0.05
Cs2 0.250 0.234 0.278  0.00
In1 0.750 0.877 0.428  0.01
In2 0.250 0.123 0.572  0.01

Properties
D(E_F): 1.79 states/eV/atom
symmetry: No. 11

no.,uncorrected energy (eV per cell),raw formation energy (eV/atom),total magnetization (μB per atom)
1,-80.161,-1.0054,0.429
2,-54.202,-0.8466,0.097
3,-66.106,-1.0111,0.596